[1]
VASP calculation (PBE) on a geometry-optimized Mg2FeI structure.

Results
- Formation energy from raw total energies: 803 meV/atom
- Energy above the lowest structure with this stoichiometry: 330 meV/atom

Geometry as POSCAR:
```
Mg2FeI
1.0
0.000 3.442 3.442
3.442 0.000 3.442
3.442 3.442 0.000
Fe Mg I
1 2 1
Direct
0.000 0.000 0.000
0.750 0.750 0.750
0.250 0.250 0.250
0.500 0.500 0.500
```

=====

[2]
VASP calculation (PBE) on a geometry-optimized MgFeI5 structure.

Results
- Formation energy from raw total energies: -407 meV/atom

Geometry as POSCAR:
```
MgFeI5
1.0
8.296 0.000 0.000
0.000 10.048 0.000
0.000 0.000 17.112
I Fe Mg
20 4 4
Direct
0.250 0.778 0.886
0.750 0.524 0.805
0.000 0.500 0.000
0.500 0.000 0.500
0.250 0.476 0.195
0.986 0.128 0.892
0.750 0.222 0.114
0.014 0.628 0.608
0.014 0.872 0.108
0.514 0.372 0.392
0.750 0.976 0.305
0.000 0.000 0.500
0.986 0.372 0.392
0.750 0.278 0.614
0.250 0.024 0.695
0.500 0.500 0.000
0.250 0.722 0.386
0.514 0.128 0.892
0.486 0.872 0.108
0.486 0.628 0.608
0.250 0.477 0.344
0.250 0.023 0.844
0.750 0.523 0.656
0.750 0.977 0.156
0.750 0.331 0.952
0.250 0.831 0.548
0.250 0.669 0.048
0.750 0.169 0.452
```

=====

[3]
VASP calculation (PBE) on a geometry-optimized MgFeI2 structure.

Results
- Formation energy from raw total energies: 324 meV/atom
- Energy above the lowest structure with this stoichiometry: 143 meV/atom

Geometry as POSCAR:
```
MgFeI2
1.0
0.000 3.674 3.674
3.674 0.000 3.674
3.674 3.674 0.000
Fe I Mg
1 2 1
Direct
0.500 0.500 0.500
0.250 0.250 0.250
0.750 0.750 0.750
0.000 0.000 0.000
```

=====

| no. | E_tot (Ry per atom) |
| --- | --- |
| 1 | -0.184 |
| 2 | -0.217 |
| 3 | -0.218 |